Material: Sr12Ge5H2
Method: DFT, PBE
State: relaxed

```
Sr12Ge5H2
1.0
8.629 -4.088 0.000
8.629 4.088 0.000
-3.021 0.000 9.877
Sr Ge H
12 5 2
Direct
0.000 0.000 0.203
0.000 0.000 0.797
0.065 0.596 0.906
0.096 0.596 0.431
0.404 0.904 0.569
0.404 0.935 0.094
0.486 0.486 0.204
0.514 0.514 0.796
0.596 0.065 0.906
0.596 0.096 0.431
0.904 0.404 0.569
0.935 0.404 0.094
0.186 0.186 0.841
0.187 0.187 0.347
0.500 0.500 0.500
0.813 0.813 0.653
0.814 0.814 0.159
0.194 0.806 0.000
0.806 0.194 0.000
```

space-group type	C2/m, No. 12
electronic total energy	-57.32	eV for the cell shown

***

Material: Sr4Ge2H
Method: DFT, PBE
State: relaxed

```
Sr4Ge2H
1.0
7.276 0.000 0.000
0.000 7.401 0.000
-2.545 0.000 8.246
Sr Ge H
8 4 2
Direct
0.009 0.008 0.249
0.009 0.492 0.249
0.424 0.250 0.592
0.444 0.250 0.125
0.556 0.750 0.875
0.576 0.750 0.408
0.991 0.508 0.751
0.991 0.992 0.751
0.218 0.750 0.549
0.246 0.750 0.066
0.754 0.250 0.934
0.782 0.250 0.451
0.239 0.250 0.305
0.761 0.750 0.695
```

space-group type	P2_1/m, No. 11
electronic total energy	-45.12	eV for the cell shown

***

Material: SrGe2H
Method: DFT, PBE
State: relaxed

```
SrGe2H
1.0
5.494 0.000 0.000
0.000 5.494 0.000
0.000 0.000 11.604
Sr Ge H
4 8 4
Direct
0.000 0.250 0.375
0.000 0.750 0.625
0.500 0.250 0.125
0.500 0.750 0.875
0.000 0.000 0.000
0.000 0.500 0.000
0.250 0.250 0.750
0.250 0.750 0.250
0.500 0.000 0.500
0.500 0.500 0.500
0.750 0.250 0.750
0.750 0.750 0.250
0.000 0.250 0.875
0.000 0.750 0.125
0.500 0.250 0.625
0.500 0.750 0.375
```

space-group type	I4_1/amd, No. 141
electronic total energy	-56.53	eV for the cell shown

***

Material: SrGe2H
Method: DFT, PBE
State: relaxed

```
SrGe2H
1.0
7.045 0.000 0.000
0.000 7.045 0.000
0.000 0.000 7.045
Sr Ge H
4 8 4
Direct
0.000 0.000 0.000
0.000 0.500 0.500
0.500 0.000 0.500
0.500 0.500 0.000
0.250 0.250 0.250
0.250 0.250 0.750
0.250 0.750 0.250
0.250 0.750 0.750
0.750 0.250 0.250
0.750 0.250 0.750
0.750 0.750 0.250
0.750 0.750 0.750
0.000 0.000 0.500
0.000 0.500 0.000
0.500 0.000 0.000
0.500 0.500 0.500
```

space-group type	Fm-3m, No. 225
electronic total energy	-48.13	eV for the cell shown

***

Material: SrGeH2
Method: DFT, PBE
State: relaxed

```
SrGeH2
1.0
6.197 0.000 0.000
0.000 6.197 0.000
0.000 0.000 6.197
Sr Ge H
4 4 8
Direct
0.000 0.000 0.000
0.000 0.500 0.500
0.500 0.000 0.500
0.500 0.500 0.000
0.000 0.000 0.500
0.000 0.500 0.000
0.500 0.000 0.000
0.500 0.500 0.500
0.250 0.250 0.250
0.250 0.250 0.750
0.250 0.750 0.250
0.250 0.750 0.750
0.750 0.250 0.250
0.750 0.250 0.750
0.750 0.750 0.250
0.750 0.750 0.750
```

space-group type	Fm-3m, No. 225
electronic total energy	-50.26	eV for the cell shown

***

Material: Sr4Ge2H
Method: DFT, PBE
State: relaxed

```
Sr4Ge2H
1.0
4.990 0.000 0.000
0.000 4.990 0.000
0.000 0.000 16.935
Sr Ge H
8 4 2
Direct
0.000 0.000 0.184
0.000 0.000 0.816
0.000 0.500 0.000
0.000 0.500 0.500
0.500 0.000 0.000
0.500 0.000 0.500
0.500 0.500 0.316
0.500 0.500 0.684
0.000 0.000 0.372
0.000 0.000 0.628
0.500 0.500 0.128
0.500 0.500 0.872
0.000 0.000 0.500
0.500 0.500 0.000
```

space-group type	I4/mmm, No. 139
electronic total energy	-43.14	eV for the cell shown

***

Material: Sr3GeH
Method: DFT, PBE
State: relaxed

```
Sr3GeH
1.0
5.177 0.000 0.000
0.000 5.177 0.000
0.000 0.000 5.177
Sr Ge H
3 1 1
Direct
0.000 0.000 0.500
0.000 0.500 0.000
0.500 0.000 0.000
0.500 0.500 0.500
0.000 0.000 0.000
```

space-group type	Pm-3m, No. 221
electronic total energy	-14.45	eV for the cell shown

***

Material: Sr12Ge3H5
Method: DFT, PBE
State: relaxed

```
Sr12Ge3H5
1.0
-8.509 8.509 8.509
8.509 -8.509 8.509
8.509 8.509 -8.509
Sr Ge H
48 12 20
Direct
0.026 0.215 0.124
0.026 0.311 0.902
0.091 0.715 0.689
0.091 0.876 0.402
0.098 0.624 0.409
0.098 0.974 0.689
0.124 0.026 0.215
0.124 0.598 0.909
0.189 0.215 0.591
0.189 0.474 0.598
0.215 0.124 0.026
0.215 0.591 0.189
0.285 0.311 0.909
0.285 0.474 0.376
0.311 0.902 0.026
0.311 0.909 0.285
0.376 0.285 0.474
0.376 0.591 0.902
0.402 0.091 0.876
0.402 0.811 0.526
0.409 0.098 0.624
0.409 0.811 0.785
0.474 0.376 0.285
0.474 0.598 0.189
0.526 0.402 0.811
0.526 0.624 0.715
0.591 0.189 0.215
0.591 0.902 0.376
0.598 0.189 0.474
0.598 0.909 0.124
0.624 0.409 0.098
0.624 0.715 0.526
0.689 0.091 0.715
0.689 0.098 0.974
0.715 0.526 0.624
0.715 0.689 0.091
0.785 0.409 0.811
0.785 0.876 0.974
0.811 0.526 0.402
0.811 0.785 0.409
0.876 0.402 0.091
0.876 0.974 0.785
0.902 0.026 0.311
0.902 0.376 0.591
0.909 0.124 0.598
0.909 0.285 0.311
0.974 0.689 0.098
0.974 0.785 0.876
0.125 0.250 0.375
0.125 0.375 0.750
0.250 0.375 0.125
0.250 0.875 0.625
0.375 0.125 0.250
0.375 0.750 0.125
0.625 0.250 0.875
0.625 0.875 0.750
0.750 0.125 0.375
0.750 0.625 0.875
0.875 0.625 0.250
0.875 0.750 0.625
0.000 0.000 0.000
0.000 0.000 0.500
0.000 0.500 0.000
0.000 0.500 0.500
0.125 0.750 0.875
0.125 0.875 0.250
0.250 0.125 0.875
0.250 0.625 0.375
0.375 0.250 0.625
0.375 0.625 0.750
0.500 0.000 0.000
0.500 0.000 0.500
0.500 0.500 0.000
0.500 0.500 0.500
0.625 0.375 0.250
0.625 0.750 0.375
0.750 0.375 0.625
0.750 0.875 0.125
0.875 0.125 0.750
0.875 0.250 0.125
```

space-group type	Ia-3d, No. 230
electronic total energy	-231.65	eV for the cell shown

***

Material: Sr5Ge2H
Method: DFT, PBE
State: relaxed

```
Sr5Ge2H
1.0
3.115 -7.007 0.000
3.115 7.007 0.000
0.000 0.000 15.134
Sr Ge H
10 4 2
Direct
0.058 0.942 0.619
0.058 0.942 0.881
0.254 0.746 0.250
0.338 0.662 0.555
0.338 0.662 0.945
0.662 0.338 0.055
0.662 0.338 0.445
0.746 0.254 0.750
0.942 0.058 0.119
0.942 0.058 0.381
0.155 0.845 0.069
0.155 0.845 0.431
0.845 0.155 0.569
0.845 0.155 0.931
0.174 0.826 0.750
0.826 0.174 0.250
```

space-group type	Cmcm, No. 63
electronic total energy	-46.69	eV for the cell shown

***

Material: Sr8Ge2H
Method: DFT, PBE
State: relaxed

```
Sr8Ge2H
1.0
9.812 -2.244 0.000
9.812 2.244 0.000
-0.612 0.000 9.900
Sr Ge H
8 2 1
Direct
0.007 0.007 0.197
0.224 0.224 0.309
0.351 0.351 0.017
0.400 0.400 0.445
0.600 0.600 0.555
0.649 0.649 0.983
0.776 0.776 0.691
0.993 0.993 0.803
0.165 0.165 0.762
0.835 0.835 0.238
0.500 0.500 0.000
```

space-group type	C2/m, No. 12
electronic total energy	-28.82	eV for the cell shown

***

Material: SrGe2H8
Method: DFT, PBE
State: relaxed

```
SrGe2H8
1.0
4.267 -2.364 0.000
4.267 2.364 0.000
-4.169 0.000 6.065
Sr Ge H
1 2 8
Direct
0.000 0.000 0.000
0.463 0.463 0.648
0.537 0.537 0.352
0.130 0.627 0.209
0.226 0.226 0.415
0.373 0.870 0.791
0.387 0.387 0.806
0.613 0.613 0.194
0.627 0.130 0.209
0.774 0.774 0.585
0.870 0.373 0.791
```

space-group type	C2/m, No. 12
electronic total energy	-36.59	eV for the cell shown

***

Material: SrGeH2
Method: DFT, PBE
State: relaxed

```
SrGeH2
1.0
4.606 0.000 0.000
0.000 4.606 0.000
0.000 0.000 12.101
Sr Ge H
4 4 8
Direct
0.000 0.000 0.000
0.000 0.500 0.250
0.500 0.000 0.750
0.500 0.500 0.500
0.000 0.000 0.500
0.000 0.500 0.750
0.500 0.000 0.250
0.500 0.500 0.000
0.112 0.250 0.625
0.250 0.612 0.875
0.250 0.888 0.375
0.388 0.250 0.125
0.612 0.750 0.125
0.750 0.112 0.375
0.750 0.388 0.875
0.888 0.750 0.625
```

space-group type	I-42d, No. 122
electronic total energy	-51.75	eV for the cell shown